The following is a GGA-PBE calculation of LaPm3Pb2 after structural relaxation, from the Alexandria database.

Cell lengths 9.7046, 9.7046, 9.8922 Å; angles 113.74, 113.74, 28.26 degrees
With the nearest neighbours (Å) after each atom.
Element x y z (fractional)
1 La 0.1150 0.1150 0.1313  6 Pb 3.38-3.57, 1 Pm 3.70
2 La 0.8850 0.8850 0.8687  6 Pb 3.38-3.57, 1 Pm 3.70
3 Pm 0.0568 0.0568 0.6863  3 Pb 3.20-3.43, 3 Pm 3.41-3.45
4 Pm 0.3070 0.3070 0.1123  4 Pb 3.31-3.64, 4 Pm 3.35-3.45, 1 La 3.70
5 Pm 0.3551 0.3551 0.5188  4 Pb 3.28-3.36
6 Pm 0.6449 0.6449 0.4812  4 Pb 3.28-3.36
7 Pm 0.6930 0.6930 0.8877  4 Pb 3.31-3.64, 4 Pm 3.35-3.45, 1 La 3.70
8 Pm 0.9432 0.9432 0.3137  3 Pb 3.20-3.43, 3 Pm 3.41-3.45
9 Pb 0.2439 0.2439 0.7108  7 Pm 3.28-3.64, 2 La 3.42
10 Pb 0.4914 0.4914 0.1509  1 Pb 3.13, 4 Pm 3.20-3.34, 2 La 3.38
11 Pb 0.5086 0.5086 0.8491  1 Pb 3.13, 4 Pm 3.20-3.34, 2 La 3.38
12 Pb 0.7561 0.7561 0.2892  7 Pm 3.28-3.64, 2 La 3.42

Properties
energy above the most stable polymorph in this dataset = 50 meV per atom
E_form = -0.3888 eV per atom

---

The following is a GGA-PBE calculation of ZnHgSbBr2 after structural relaxation, from the Alexandria database.

Cell lengths 4.8759, 4.8759, 7.2537 Å; angles 90.00, 90.00, 90.00 degrees
With the nearest neighbours (Å) after each atom.
Element x y z (fractional)
1 Zn 0.0000 0.0000 0.0000  4 Br 2.44
2 Hg 0.0000 0.0000 0.5000  4 Sb 3.45, 2 Zn 3.63
3 Sb 0.5000 0.5000 0.5000  4 Hg 3.45
4 Br 0.0000 0.5000 0.0000  2 Zn 2.44
5 Br 0.5000 0.0000 0.0000  2 Zn 2.44

Properties
calculated total energy = -1.6905 eV per atom

---

Computed calculated density, in the same sequence as the records: 8.2 5.3 g/cm³.